# Na6V2C4SO16 | the Alexandria database | PBE with a Hubbard U | relaxed
# * space-group type: Fd-3 (203)
data_Na6V2C4SO16
_space_group_name_H-M_alt 'P 1'
_space_group_IT_number 1
_space_group_name_Hall 'P 1'
_cell_length_a 10.002
_cell_length_b 10.002
_cell_length_c 10.002
_cell_angle_alpha 60.00
_cell_angle_beta 60.00
_cell_angle_gamma 60.00
loop_
_atom_site_label
_atom_site_type_symbol
_atom_site_fract_x
_atom_site_fract_y
_atom_site_fract_z
Na1 Na 0.784 0.216 0.216
Na2 Na 0.034 0.466 0.034
Na3 Na 0.784 0.216 0.784
Na4 Na 0.216 0.784 0.784
Na5 Na 0.216 0.216 0.784
Na6 Na 0.034 0.034 0.466
Na7 Na 0.466 0.466 0.034
Na8 Na 0.784 0.784 0.216
Na9 Na 0.034 0.466 0.466
Na10 Na 0.466 0.034 0.034
Na11 Na 0.466 0.034 0.466
Na12 Na 0.216 0.784 0.216
V1 V 0.625 0.625 0.625
V2 V 0.625 0.125 0.625
V3 V 0.125 0.625 0.625
V4 V 0.625 0.625 0.125
C1 C 0.845 0.466 0.845
C2 C 0.784 0.405 0.405
C3 C 0.405 0.405 0.784
C4 C 0.405 0.405 0.405
C5 C 0.845 0.845 0.845
C6 C 0.845 0.845 0.466
C7 C 0.405 0.784 0.405
C8 C 0.466 0.845 0.845
S1 S 0.250 0.250 0.250
S2 S 0.000 0.000 0.000
O1 O 0.433 0.189 0.189
O2 O 0.189 0.189 0.433
O3 O 0.189 0.189 0.189
O4 O 0.426 0.523 0.785
O5 O 0.189 0.433 0.189
O6 O 0.785 0.266 0.426
O7 O 0.266 0.785 0.523
O8 O 0.785 0.426 0.523
O9 O 0.824 0.465 0.984
O10 O 0.984 0.727 0.824
O11 O 0.523 0.266 0.785
O12 O 0.785 0.523 0.266
O13 O 0.727 0.465 0.824
O14 O 0.984 0.824 0.465
O15 O 0.426 0.266 0.523
O16 O 0.523 0.426 0.266
O17 O 0.727 0.824 0.984
O18 O 0.266 0.426 0.785
O19 O 0.824 0.984 0.727
O20 O 0.523 0.785 0.426
O21 O 0.465 0.727 0.984
O22 O 0.727 0.984 0.465
O23 O 0.266 0.523 0.426
O24 O 0.426 0.785 0.266
O25 O 0.465 0.824 0.727
O26 O 0.984 0.465 0.727
O27 O 0.465 0.984 0.824
O28 O 0.061 0.817 0.061
O29 O 0.824 0.727 0.465
O30 O 0.061 0.061 0.061
O31 O 0.061 0.061 0.817
O32 O 0.817 0.061 0.061

---

# NaVCSO7 | the Alexandria database | PBE with a Hubbard U | relaxed
# * space-group type: P2_1 (4)
data_NaVCSO7
_space_group_name_H-M_alt 'P 1'
_space_group_IT_number 1
_space_group_name_Hall 'P 1'
_cell_length_a 5.334
_cell_length_b 10.619
_cell_length_c 6.426
_cell_angle_alpha 90.00
_cell_angle_beta 90.01
_cell_angle_gamma 85.39
loop_
_atom_site_label
_atom_site_type_symbol
_atom_site_fract_x
_atom_site_fract_y
_atom_site_fract_z
Na1 Na 0.283 0.078 0.586
Na2 Na 0.717 0.922 0.086
V1 V 0.215 0.639 0.235
V2 V 0.785 0.361 0.735
C1 C 0.724 0.136 0.750
C2 C 0.276 0.864 0.250
S1 S 0.736 0.436 0.236
S2 S 0.264 0.564 0.736
O1 O 0.322 0.978 0.269
O2 O 0.678 0.022 0.769
O3 O 0.949 0.178 0.749
O4 O 0.051 0.822 0.249
O5 O 0.542 0.228 0.726
O6 O 0.458 0.772 0.226
O7 O 0.793 0.354 0.051
O8 O 0.207 0.646 0.551
O9 O 0.801 0.353 0.419
O10 O 0.199 0.647 0.919
O11 O 0.113 0.453 0.735
O12 O 0.887 0.547 0.235
O13 O 0.464 0.477 0.241
O14 O 0.536 0.523 0.740

---

Ordered electronic total energy results: -6.6581, -6.7988; unit eV/atom.